Record 1
AcEuGdGa | PBE-GGA | relaxed

POSCAR file:
```
AcEuGdGa
1.0
-3.523 1.283 -4.200
-5.142 -2.287 -0.159
-4.531 3.188 1.001
Eu Ac Gd Ga
1 1 1 1
direct
0.750 0.750 0.750
0.000 0.000 0.000
0.250 0.250 0.250
0.500 0.500 0.500
```

Summary:
Total DFT energy (no corrections): -7.8181 eV/atom

Record 2
Pm3Sm2Mg2 | PBE-GGA | relaxed

POSCAR file:
```
Pm3Sm2Mg2
1.0
-1.347 -1.940 2.994
1.717 -3.070 -1.217
13.380 4.819 6.716
Pm Sm Mg
3 2 2
direct
0.419 0.500 0.839
0.581 0.500 0.161
0.000 0.000 0.000
0.295 0.500 0.591
0.705 0.500 0.409
0.143 0.000 0.286
0.857 0.000 0.714
```

Summary:
Total DFT energy (no corrections): -3.8028 eV/atom

Record 3
CeNiSe | PBE-GGA | relaxed

POSCAR file:
```
CeNiSe
1.0
-2.588 1.681 -2.302
4.089 -2.470 -6.402
-4.272 -6.748 -0.125
Ni Ce Se
4 4 4
direct
0.500 0.907 0.138
0.500 0.093 0.862
0.000 0.138 0.093
0.000 0.862 0.907
0.500 0.796 0.573
0.000 0.427 0.796
0.000 0.573 0.204
0.500 0.204 0.427
0.500 0.309 0.075
0.000 0.925 0.309
0.000 0.075 0.691
0.500 0.691 0.925
```

Summary:
Raw formation energy: -735 meV/atom

Record 4
LiGaSb2S | PBE-GGA | relaxed

POSCAR file:
```
LiGaSb2S
1.0
-3.925 -3.276 1.544
3.009 -2.848 1.606
-0.195 2.464 4.735
Sb S Ga Li
2 1 1 1
direct
0.000 0.000 0.500
0.500 0.000 0.000
0.000 0.000 0.000
0.500 0.500 0.500
0.000 0.500 0.000
```

Summary:
Raw formation energy: 2 meV/atom

| no. | D(E_F) (states/eV/cell) |
| --- | --- |
| 1 | 6.35 |
| 2 | 7.43 |
| 3 | 26.32 |
| 4 | 2.45 |